1.
DFT (GGA-PBE) results for an optimized crystal structure of SbTe2Br.

Cell lengths 7.4405, 4.2442, 8.6654 Å; angles 90.00, 91.00, 90.00 degrees
Space group C2/m (No. 12)
Symmetry-distinct sites (fractional):
Sb1 0.0000 0.0000 0.0000 x2
Te1 0.1787 0.5000 0.2114 x4
Br1 0.0000 0.5000 0.5000 x2

## Properties
- Formation energy without anion corrections: -67 meV per atom
- Total energy: -24.69 eV for the cell shown
- M_tot: 0.0 μB per cell
- ΔE to the lowest computed polymorph: 109 meV per atom

---

2.
DFT (GGA-PBE) results for an optimized crystal structure of LiY2.

Cell lengths 7.9113, 7.9113, 5.4388 Å; angles 90.00, 90.00, 90.00 degrees
Space group I4/mcm (No. 140)
Symmetry-distinct sites (fractional):
Li1 0.0000 0.0000 0.2500 x4
Y1 0.1487 0.3513 0.0000 x8

## Properties
- Energy relative to the elements: 144 meV/atom
- Total energy: -57.64 eV for the cell shown
- M_tot: 0.0 μB per cell
- ΔE to the lowest computed polymorph: 69 meV per atom

---

3.
DFT (GGA-PBE) results for an optimized crystal structure of RbBiPdCl6.

Cell lengths 6.9090, 6.9090, 7.3343 Å; angles 90.00, 90.00, 120.00 degrees
Space group P312 (No. 149)
Symmetry-distinct sites (fractional):
Rb1 0.0000 0.0000 0.0000 x1
Bi1 0.6667 0.3333 0.5000 x1
Pd1 0.3333 0.6667 0.5000 x1
Cl1 0.0205 0.3812 0.7044 x6

## Properties
- Formation energy without anion corrections: -999 meV per atom
- Total energy: -30.12 eV for the cell shown
- M_tot: 2.0 μB per cell

---

4.
DFT (GGA-PBE) results for an optimized crystal structure of Hf6AlIn2.

Cell lengths 4.6809, 6.6625, 14.0890 Å; angles 90.00, 90.00, 90.00 degrees
Space group Immm (No. 71)
Symmetry-distinct sites (fractional):
Hf1 0.0000 0.2382 0.0000 x4
Hf2 0.0000 0.2572 0.3384 x8
Al1 0.0000 0.5000 0.5000 x2
In1 0.0000 0.5000 0.1664 x4

## Properties
- Energy relative to the elements: 340 meV/atom
- Total energy: -131.76 eV for the cell shown
- M_tot: 0.0 μB per cell

---

5.
DFT (GGA-PBE) results for an optimized crystal structure of LaSm6Er5.

Cell lengths 5.0792, 10.1400, 15.2266 Å; angles 90.00, 90.00, 90.00 degrees
Space group Immm (No. 71)
Symmetry-distinct sites (fractional):
La1 0.0000 0.0000 0.0000 x2
Sm1 0.0000 0.2464 0.5000 x4
Sm2 0.0000 0.2521 0.1666 x8
Er1 0.0000 0.0000 0.3325 x4
Er2 0.0000 0.5000 0.0000 x2
Er3 0.0000 0.5000 0.3314 x4

## Properties
- Energy relative to the elements: 23 meV/atom
- Total energy: -111.55 eV for the cell shown
- M_tot: 0.0 μB per cell

---

6.
DFT (GGA-PBE) results for an optimized crystal structure of V2CuTcH.

Cell lengths 3.8152, 3.8152, 3.8081 Å; angles 90.00, 90.00, 90.00 degrees
Space group P4/mmm (No. 123)
Symmetry-distinct sites (fractional):
V1 0.0000 0.5000 0.0000 x2
Cu1 0.0000 0.0000 0.5000 x1
Tc1 0.5000 0.5000 0.5000 x1
H1 0.5000 0.5000 0.0000 x1

## Properties
- Total energy: -36.17 eV for the cell shown
- M_tot: 0.0 μB per cell
- ΔE to the lowest computed polymorph: 0 meV per atom

---

Look up the M_tot of the second one.
0.0 μB per cell

---

The highest total energy belongs to which entry?
SbTe2Br

---

Which of these has the lowest total energy?
Hf6AlIn2